*i*
# LiCe2F6

A relaxed LiCe2F6 crystal (PBE, Alexandria).

Results
The volume comes out at 127.9 Å³/f.u. Its density is 5.21 Mg/m³.

Geometry as CIF:
```
data_LiCe2F6
_chemical_formula_sum 'Li2 Ce4 F12'
_cell_length_a 5.1884
_cell_length_b 6.6912
_cell_length_c 8.7326
_cell_angle_alpha 90.00
_cell_angle_beta 122.49
_cell_angle_gamma 90.00
_symmetry_space_group_name_H-M 'P 1 21/c 1'
_symmetry_Int_Tables_number 14
loop_
_symmetry_equiv_pos_as_xyz
'x,y,z'
'-x,-y,-z'
'-x,y+1/2,-z+1/2'
'x,-y+1/2,z+1/2'
loop_
_atom_site_label
_atom_site_type_symbol
_atom_site_fract_x
_atom_site_fract_y
_atom_site_fract_z
Li1 Li 0.0000 0.0000 0.0000
Ce1 Ce 0.2748 0.1081 0.7302
F1 F 0.1377 0.0464 0.2555
F2 F 0.2176 0.7199 0.0683
F3 F 0.3661 0.1446 0.0462
```

=====

*ii*
# LiCe2F6

A relaxed LiCe2F6 crystal (PBE, Alexandria).

Results
The volume comes out at 136.1 Å³/f.u. Its density is 4.89 Mg/m³.

Geometry as CIF:
```
data_LiCe2F6
_chemical_formula_sum 'Li2 Ce4 F12'
_cell_length_a 3.9205
_cell_length_b 5.7346
_cell_length_c 12.1111
_cell_angle_alpha 90.00
_cell_angle_beta 90.00
_cell_angle_gamma 90.00
_symmetry_space_group_name_H-M 'I m m m'
_symmetry_Int_Tables_number 71
_symmetry_space_group_name_Hall '-I 2 2'
loop_
_atom_site_label
_atom_site_type_symbol
_atom_site_fract_x
_atom_site_fract_y
_atom_site_fract_z
Li1 Li 0.0000 0.0000 0.0000
Ce1 Ce 0.0000 0.0000 0.3491
F1 F 0.0000 0.2428 0.1724
F2 F 0.0000 0.2719 0.5000
```

=====

Stability, highest: *i*

=====

*i*
# LiCe2F8

A relaxed LiCe2F8 crystal (PBE, Alexandria).

Results
The volume comes out at 170.6 Å³/f.u. Its density is 4.28 Mg/m³.

Geometry as CIF:
```
data_LiCe2F8
_chemical_formula_sum 'Li2 Ce4 F16'
_cell_length_a 7.2150
_cell_length_b 10.8122
_cell_length_c 4.4565
_cell_angle_alpha 90.00
_cell_angle_beta 101.12
_cell_angle_gamma 90.00
_symmetry_space_group_name_H-M 'C 1 2/m 1'
_symmetry_Int_Tables_number 12
loop_
_symmetry_equiv_pos_as_xyz
'x,y,z'
'-x,-y,-z'
'-x,y,-z'
'x,-y,z'
'x+1/2,y+1/2,z'
'-x+1/2,-y+1/2,-z'
'-x+1/2,y+1/2,-z'
'x+1/2,-y+1/2,z'
loop_
_atom_site_label
_atom_site_type_symbol
_atom_site_fract_x
_atom_site_fract_y
_atom_site_fract_z
Li1 Li 0.0000 0.0000 0.0000
Ce1 Ce 0.0000 0.3239 0.0000
F1 F 0.0000 0.2685 0.5000
F2 F 0.1020 0.5000 0.2704
F3 F 0.1857 0.1389 0.0516
```

=====

*ii*
# LiCe2F8

A relaxed LiCe2F8 crystal (PBE, Alexandria).

Results
The volume comes out at 151.3 Å³/f.u. Its density is 4.82 Mg/m³.

Geometry as CIF:
```
data_LiCe2F8
_chemical_formula_sum 'Li2 Ce4 F16'
_cell_length_a 10.4659
_cell_length_b 7.3749
_cell_length_c 4.1858
_cell_angle_alpha 90.00
_cell_angle_beta 110.47
_cell_angle_gamma 90.00
_symmetry_space_group_name_H-M 'C 1 2/m 1'
_symmetry_Int_Tables_number 12
loop_
_symmetry_equiv_pos_as_xyz
'x,y,z'
'-x,-y,-z'
'-x,y,-z'
'x,-y,z'
'x+1/2,y+1/2,z'
'-x+1/2,-y+1/2,-z'
'-x+1/2,y+1/2,-z'
'x+1/2,-y+1/2,z'
loop_
_atom_site_label
_atom_site_type_symbol
_atom_site_fract_x
_atom_site_fract_y
_atom_site_fract_z
Li1 Li 0.0000 0.0000 0.0000
Ce1 Ce 0.1862 0.5000 0.4200
F1 F 0.0640 0.5000 0.8067
F2 F 0.1226 0.2010 0.3506
F3 F 0.1893 0.0000 0.9342
```

=====

Stability, highest: *i*

=====

*i*
# Ce2PF

A relaxed Ce2PF crystal (PBE, Alexandria).

Results
The volume comes out at 82.1 Å³/f.u. Its density is 6.68 Mg/m³.

Geometry as CIF:
```
data_Ce2PF
_chemical_formula_sum 'Ce6 P3 F3'
_cell_length_a 3.9235
_cell_length_b 3.9235
_cell_length_c 18.4662
_cell_angle_alpha 90.00
_cell_angle_beta 90.00
_cell_angle_gamma 120.00
_symmetry_space_group_name_H-M 'R -3 m'
_symmetry_Int_Tables_number 166
_symmetry_space_group_name_Hall '-R 3 2"'
loop_
_atom_site_label
_atom_site_type_symbol
_atom_site_fract_x
_atom_site_fract_y
_atom_site_fract_z
Ce1 Ce 0.0000 0.0000 0.2454
P1 P 0.0000 0.0000 0.0000
F1 F 0.0000 0.0000 0.5000
```

=====

*ii*
# Ce2PF

A relaxed Ce2PF crystal (PBE, Alexandria).

Results
The volume comes out at 86.4 Å³/f.u. Its density is 6.35 Mg/m³.

Geometry as CIF:
```
data_Ce2PF
_chemical_formula_sum 'Ce6 P3 F3'
_cell_length_a 3.8567
_cell_length_b 3.8567
_cell_length_c 20.1195
_cell_angle_alpha 90.00
_cell_angle_beta 90.00
_cell_angle_gamma 120.00
_symmetry_space_group_name_H-M 'R 3 m'
_symmetry_Int_Tables_number 160
_symmetry_space_group_name_Hall 'R 3 -2"'
loop_
_atom_site_label
_atom_site_type_symbol
_atom_site_fract_x
_atom_site_fract_y
_atom_site_fract_z
Ce1 Ce 0.0000 0.0000 0.0000
Ce2 Ce 0.0000 0.0000 0.1685
P1 P 0.0000 0.0000 0.5850
F1 F 0.0000 0.0000 0.4116
```

=====

Stability, highest: *i*

=====

*i*
# CePb2F8

A relaxed CePb2F8 crystal (PBE, Alexandria).

Results
The volume comes out at 167.5 Å³/f.u. Its density is 7.00 Mg/m³.

Geometry as CIF:
```
data_CePb2F8
_chemical_formula_sum 'Ce2 Pb4 F16'
_cell_length_a 14.8754
_cell_length_b 4.0994
_cell_length_c 5.8369
_cell_angle_alpha 90.00
_cell_angle_beta 109.72
_cell_angle_gamma 90.00
_symmetry_space_group_name_H-M 'C 1 2/m 1'
_symmetry_Int_Tables_number 12
loop_
_symmetry_equiv_pos_as_xyz
'x,y,z'
'-x,-y,-z'
'-x,y,-z'
'x,-y,z'
'x+1/2,y+1/2,z'
'-x+1/2,-y+1/2,-z'
'-x+1/2,y+1/2,-z'
'x+1/2,-y+1/2,z'
loop_
_atom_site_label
_atom_site_type_symbol
_atom_site_fract_x
_atom_site_fract_y
_atom_site_fract_z
Ce1 Ce 0.0000 0.0000 0.0000
Pb1 Pb 0.1802 0.5000 0.6724
F1 F 0.0208 0.5000 0.8131
F2 F 0.0894 0.0000 0.3883
F3 F 0.1455 0.0000 0.9614
F4 F 0.2226 0.5000 0.3133
```

=====

*ii*
# CePb2F8

A relaxed CePb2F8 crystal (PBE, Alexandria).

Results
The volume comes out at 160.6 Å³/f.u. Its density is 7.31 Mg/m³.

Geometry as CIF:
```
data_CePb2F8
_chemical_formula_sum 'Ce2 Pb4 F16'
_cell_length_a 3.9754
_cell_length_b 6.6377
_cell_length_c 12.1707
_cell_angle_alpha 90.00
_cell_angle_beta 90.00
_cell_angle_gamma 90.00
_symmetry_space_group_name_H-M 'I m m m'
_symmetry_Int_Tables_number 71
_symmetry_space_group_name_Hall '-I 2 2'
loop_
_atom_site_label
_atom_site_type_symbol
_atom_site_fract_x
_atom_site_fract_y
_atom_site_fract_z
Ce1 Ce 0.0000 0.0000 0.0000
Pb1 Pb 0.0000 0.0000 0.3373
F1 F 0.0000 0.1867 0.5000
F2 F 0.0000 0.2509 0.1400
F3 F 0.0000 0.5000 0.3914
```

=====

Stability, highest: *i*

=====

*i*
# CePm2F8

A relaxed CePm2F8 crystal (PBE, Alexandria).

Results
The volume comes out at 144.7 Å³/f.u. Its density is 6.68 Mg/m³.

Geometry as CIF:
```
data_CePm2F8
_chemical_formula_sum 'Ce2 Pm4 F16'
_cell_length_a 3.8670
_cell_length_b 6.6311
_cell_length_c 11.2897
_cell_angle_alpha 90.00
_cell_angle_beta 90.00
_cell_angle_gamma 90.00
_symmetry_space_group_name_H-M 'I m m m'
_symmetry_Int_Tables_number 71
_symmetry_space_group_name_Hall '-I 2 2'
loop_
_atom_site_label
_atom_site_type_symbol
_atom_site_fract_x
_atom_site_fract_y
_atom_site_fract_z
Ce1 Ce 0.0000 0.0000 0.0000
Pm1 Pm 0.0000 0.0000 0.3150
F1 F 0.0000 0.1910 0.5000
F2 F 0.0000 0.2853 0.1624
F3 F 0.0000 0.5000 0.3478
```

=====

*ii*
# CePm2F8

A relaxed CePm2F8 crystal (PBE, Alexandria).

Results
The volume comes out at 159.2 Å³/f.u. Its density is 6.07 Mg/m³.

Geometry as CIF:
```
data_CePm2F8
_chemical_formula_sum 'Ce2 Pm4 F16'
_cell_length_a 15.6526
_cell_length_b 3.7259
_cell_length_c 5.8301
_cell_angle_alpha 90.00
_cell_angle_beta 110.50
_cell_angle_gamma 90.00
_symmetry_space_group_name_H-M 'C 1 2/m 1'
_symmetry_Int_Tables_number 12
loop_
_symmetry_equiv_pos_as_xyz
'x,y,z'
'-x,-y,-z'
'-x,y,-z'
'x,-y,z'
'x+1/2,y+1/2,z'
'-x+1/2,-y+1/2,-z'
'-x+1/2,y+1/2,-z'
'x+1/2,-y+1/2,z'
loop_
_atom_site_label
_atom_site_type_symbol
_atom_site_fract_x
_atom_site_fract_y
_atom_site_fract_z
Ce1 Ce 0.0000 0.0000 0.0000
Pm1 Pm 0.1803 0.5000 0.6831
F1 F 0.0492 0.5000 0.7763
F2 F 0.1019 0.0000 0.4440
F3 F 0.1815 0.0000 0.9596
F4 F 0.2196 0.5000 0.3272
```

=====

Stability, highest: *ii*

=====

*i*
# Ce2PmF8

A relaxed Ce2PmF8 crystal (PBE, Alexandria).

Results
The volume comes out at 158.7 Å³/f.u. Its density is 6.04 Mg/m³.

Geometry as CIF:
```
data_Ce2PmF8
_chemical_formula_sum 'Ce4 Pm2 F16'
_cell_length_a 15.0016
_cell_length_b 4.0409
_cell_length_c 5.5547
_cell_angle_alpha 90.00
_cell_angle_beta 109.55
_cell_angle_gamma 90.00
_symmetry_space_group_name_H-M 'C 1 2/m 1'
_symmetry_Int_Tables_number 12
loop_
_symmetry_equiv_pos_as_xyz
'x,y,z'
'-x,-y,-z'
'-x,y,-z'
'x,-y,z'
'x+1/2,y+1/2,z'
'-x+1/2,-y+1/2,-z'
'-x+1/2,y+1/2,-z'
'x+1/2,-y+1/2,z'
loop_
_atom_site_label
_atom_site_type_symbol
_atom_site_fract_x
_atom_site_fract_y
_atom_site_fract_z
Ce1 Ce 0.1796 0.0000 0.1967
Pm1 Pm 0.0000 0.5000 0.5000
F1 F 0.0273 0.0000 0.3025
F2 F 0.0972 0.5000 0.9260
F3 F 0.1537 0.5000 0.4573
F4 F 0.2166 0.0000 0.8025
```

=====

*ii*
# Ce2PmF8

A relaxed Ce2PmF8 crystal (PBE, Alexandria).

Results
The volume comes out at 148.3 Å³/f.u. Its density is 6.46 Mg/m³.

Geometry as CIF:
```
data_Ce2PmF8
_chemical_formula_sum 'Ce4 Pm2 F16'
_cell_length_a 3.9605
_cell_length_b 6.6552
_cell_length_c 11.2545
_cell_angle_alpha 90.00
_cell_angle_beta 90.00
_cell_angle_gamma 90.00
_symmetry_space_group_name_H-M 'I m m m'
_symmetry_Int_Tables_number 71
_symmetry_space_group_name_Hall '-I 2 2'
loop_
_atom_site_label
_atom_site_type_symbol
_atom_site_fract_x
_atom_site_fract_y
_atom_site_fract_z
Ce1 Ce 0.0000 0.0000 0.1832
Pm1 Pm 0.0000 0.0000 0.5000
F1 F 0.0000 0.1921 0.0000
F2 F 0.0000 0.2747 0.3444
F3 F 0.0000 0.5000 0.1395
```

=====

Stability, highest: *i*

=====

*i*
# Ce2RuF

A relaxed Ce2RuF crystal (PBE, Alexandria).

Results
The volume comes out at 103.0 Å³/f.u. Its density is 6.45 Mg/m³.

Geometry as CIF:
```
data_Ce2RuF
_chemical_formula_sum 'Ce6 Ru3 F3'
_cell_length_a 3.9391
_cell_length_b 3.9391
_cell_length_c 22.9954
_cell_angle_alpha 90.00
_cell_angle_beta 90.00
_cell_angle_gamma 120.00
_symmetry_space_group_name_H-M 'R 3 m'
_symmetry_Int_Tables_number 160
_symmetry_space_group_name_Hall 'R 3 -2"'
loop_
_atom_site_label
_atom_site_type_symbol
_atom_site_fract_x
_atom_site_fract_y
_atom_site_fract_z
Ce1 Ce 0.0000 0.0000 0.0000
Ce2 Ce 0.0000 0.0000 0.1954
Ru1 Ru 0.0000 0.0000 0.5883
F1 F 0.0000 0.0000 0.3811
```

=====

*ii*
# Ce2RuF

A relaxed Ce2RuF crystal (PBE, Alexandria).

Results
The volume comes out at 75.5 Å³/f.u. Its density is 8.80 Mg/m³.

Geometry as CIF:
```
data_Ce2RuF
_chemical_formula_sum 'Ce2 Ru1 F1'
_cell_length_a 3.1721
_cell_length_b 3.1721
_cell_length_c 7.5079
_cell_angle_alpha 90.00
_cell_angle_beta 90.00
_cell_angle_gamma 90.00
_symmetry_space_group_name_H-M 'P 4/m m m'
_symmetry_Int_Tables_number 123
_symmetry_space_group_name_Hall '-P 4 2'
loop_
_atom_site_label
_atom_site_type_symbol
_atom_site_fract_x
_atom_site_fract_y
_atom_site_fract_z
Ce1 Ce 0.0000 0.0000 0.2502
Ru1 Ru 0.5000 0.5000 0.0000
F1 F 0.5000 0.5000 0.5000
```

=====

*iii*
# Ce2RuF

A relaxed Ce2RuF crystal (PBE, Alexandria).

Results
The volume comes out at 85.1 Å³/f.u. Its density is 7.81 Mg/m³.

Geometry as CIF:
```
data_Ce2RuF
_chemical_formula_sum 'Ce6 Ru3 F3'
_cell_length_a 3.9534
_cell_length_b 3.9534
_cell_length_c 18.8624
_cell_angle_alpha 90.00
_cell_angle_beta 90.00
_cell_angle_gamma 120.00
_symmetry_space_group_name_H-M 'R -3 m'
_symmetry_Int_Tables_number 166
_symmetry_space_group_name_Hall '-R 3 2"'
loop_
_atom_site_label
_atom_site_type_symbol
_atom_site_fract_x
_atom_site_fract_y
_atom_site_fract_z
Ce1 Ce 0.0000 0.0000 0.2493
Ru1 Ru 0.0000 0.0000 0.0000
F1 F 0.0000 0.0000 0.5000
```

=====

Stability, highest: *iii*

=====

*i*
# Ce2SbF

A relaxed Ce2SbF crystal (PBE, Alexandria).

Results
The volume comes out at 97.2 Å³/f.u. Its density is 7.19 Mg/m³.

Geometry as CIF:
```
data_Ce2SbF
_chemical_formula_sum 'Ce6 Sb3 F3'
_cell_length_a 4.1152
_cell_length_b 4.1152
_cell_length_c 19.8767
_cell_angle_alpha 90.00
_cell_angle_beta 90.00
_cell_angle_gamma 120.00
_symmetry_space_group_name_H-M 'R -3 m'
_symmetry_Int_Tables_number 166
_symmetry_space_group_name_Hall '-R 3 2"'
loop_
_atom_site_label
_atom_site_type_symbol
_atom_site_fract_x
_atom_site_fract_y
_atom_site_fract_z
Ce1 Ce 0.0000 0.0000 0.2331
Sb1 Sb 0.0000 0.0000 0.0000
F1 F 0.0000 0.0000 0.5000
```

=====

*ii*
# Ce2SbF

A relaxed Ce2SbF crystal (PBE, Alexandria).

Results
The volume comes out at 102.5 Å³/f.u. Its density is 6.82 Mg/m³.

Geometry as CIF:
```
data_Ce2SbF
_chemical_formula_sum 'Ce8 Sb4 F4'
_cell_length_a 8.0750
_cell_length_b 6.4063
_cell_length_c 8.0769
_cell_angle_alpha 90.00
_cell_angle_beta 101.23
_cell_angle_gamma 90.00
_symmetry_space_group_name_H-M 'P 1 21/c 1'
_symmetry_Int_Tables_number 14
loop_
_symmetry_equiv_pos_as_xyz
'x,y,z'
'-x,-y,-z'
'-x,y+1/2,-z+1/2'
'x,-y+1/2,z+1/2'
loop_
_atom_site_label
_atom_site_type_symbol
_atom_site_fract_x
_atom_site_fract_y
_atom_site_fract_z
Ce1 Ce 0.0472 0.1348 0.3353
Ce2 Ce 0.3487 0.6674 0.5197
Sb1 Sb 0.3287 0.1422 0.6670
F1 F 0.2116 0.6558 0.7587
```

=====

Stability, highest: *ii*